CaV2CdO6: relaxed, PBE+U.

Final energy: -6.787 eV/atom

Cell lengths 7.1372, 7.1372, 5.6647 Å; angles 97.94, 97.94, 85.54 degrees
Fractional positions:
1 Ca 0.2030 0.7970 0.7500
2 Ca 0.7970 0.2030 0.2500
3 V 0.1104 0.2998 0.7883
4 V 0.2998 0.1104 0.2883
5 V 0.7002 0.8896 0.7117
6 V 0.8896 0.7002 0.2117
7 Cd 0.4101 0.5899 0.2500
8 Cd 0.5899 0.4101 0.7500
9 O 0.0938 0.2022 0.0792
10 O 0.1113 0.6413 0.3647
11 O 0.2022 0.0938 0.5792
12 O 0.2833 0.4784 0.8579
13 O 0.3587 0.8887 0.1353
14 O 0.4784 0.2833 0.3579
15 O 0.5216 0.7167 0.6421
16 O 0.6413 0.1113 0.8647
17 O 0.7167 0.5216 0.1421
18 O 0.7978 0.9062 0.4208
19 O 0.8887 0.3587 0.6353
20 O 0.9062 0.7978 0.9208